1.
A plane-wave DFT calculation with PBE was carried out for Sr2Mg4Ir after structural relaxation.

Calculated values
DFT total energy: -2.735 eV/atom
SG: I4/mmm
ΔE_f: -0.077 eV/atom
crystal system: tetragonal
DOS(E_F): 3.2 states/eV per cell

```
Sr2Mg4Ir
1.0
-0.673 -2.238 4.499
4.944 0.517 0.997
0.605 6.833 6.345
Mg Sr Ir
4 2 1
Cartesian
2.472 0.259 0.499
3.821 0.536 6.552
-0.337 -1.119 2.250
1.054 4.576 5.290
3.202 3.651 8.008
1.673 1.461 3.834
0.000 0.000 0.000
```

=====

2.
A plane-wave DFT calculation with PBE was carried out for Sb4PRh after structural relaxation.

Calculated values
DFT total energy: -3.913 eV/atom
SG: F-43m
crystal system: cubic
DOS(E_F): 6.0 states/eV per cell

```
Sb4PRh
1.0
-4.922 0.485 3.410
-4.777 3.021 -2.034
-5.005 -2.959 -1.511
Sb Rh P
4 1 1
Cartesian
-8.014 -1.269 -0.803
-7.901 1.710 -1.064
-7.972 0.447 1.649
-5.520 0.205 -0.051
0.000 0.000 0.000
-11.028 0.410 -0.101
```

=====

3.
A plane-wave DFT calculation with PBE was carried out for PuGeBr6 after structural relaxation.

Calculated values
DFT total energy: -4.617 eV/atom
SG: C2/m
crystal system: monoclinic
DOS(E_F): 10.0 states/eV per cell

```
PuGeBr6
1.0
-2.244 6.564 -0.065
-5.542 0.185 -4.168
-6.676 -1.191 3.050
Br Pu Ge
6 1 1
Cartesian
-10.275 0.954 -1.552
-4.187 4.604 0.369
-5.824 5.038 -3.169
-5.825 1.413 -1.675
-8.637 4.145 0.492
-1.963 1.711 -1.065
-3.893 3.375 -2.117
0.000 0.000 0.000
```

=====

> Look up the DFT total energy of the second one.

-3.913 eV/atom

=====

> What is the DOS(E_F) in the second record?

6.0 states/eV per cell

=====

> DFT total energy of number 1 (Sr2Mg4Ir)?

-2.735 eV/atom